1.
Below is a PBEsol-optimized structure of BePtCl3, with properties calculated at the SCAN level.

Cell lengths 4.7888, 4.7888, 4.7888 Å; angles 90.00, 90.00, 90.00 degrees
Closest atoms and distances in Å follow each position.
Atoms (fractional coordinates):
Cl 0.0000 0.0000 0.5000  2 Pt 2.39
Cl 0.5000 0.0000 0.0000  2 Pt 2.39
Cl 0.0000 0.5000 0.0000  2 Pt 2.39
Pt 0.0000 0.0000 0.0000  6 Cl 2.39
Be 0.5000 0.5000 0.5000  12 Cl 3.39

Results
ΔE_f (raw): 0.26 eV per atom
E: -19.434 eV/atom

***

2.
Below is a PBEsol-optimized structure of Fe2Mo, with properties calculated at the SCAN level.

Cell lengths 4.6329, 4.6329, 4.6329 Å; angles 60.00, 60.00, 60.00 degrees
Closest atoms and distances in Å follow each position.
Atoms (fractional coordinates):
Fe 0.6250 0.1250 0.1250  6 Fe 2.32
Fe 0.1250 0.1250 0.1250  6 Fe 2.32
Fe 0.1250 0.1250 0.6250  6 Fe 2.32
Fe 0.1250 0.6250 0.1250  6 Fe 2.32
Mo 0.5000 0.5000 0.5000  12 Fe 2.72, 4 Mo 2.84
Mo 0.7500 0.7500 0.7500  12 Fe 2.72, 4 Mo 2.84

Results
formation enthalpy at 0 K: 0.1294 eV/atom
E: -23.585 eV/atom

***

3.
Below is a PBEsol-optimized structure of Cr2RuRh, with properties calculated at the SCAN level.

Cell lengths 3.7115, 3.7115, 4.4529 Å; angles 114.63, 114.63, 90.00 degrees
Closest atoms and distances in Å follow each position.
Atoms (fractional coordinates):
Rh 0.0000 0.0000 0.0000  8 Cr 2.58, 4 Ru 2.62
Cr 0.7500 0.2500 0.5000  4 Rh 2.58, 4 Ru 2.58, 4 Cr 2.62
Cr 0.2500 0.7500 0.5000  4 Ru 2.58, 4 Rh 2.58, 4 Cr 2.62
Ru 0.5000 0.5000 0.0000  8 Cr 2.58, 4 Rh 2.62

Results
formation enthalpy at 0 K: 0.0451 eV/atom
E: -26.297 eV/atom

***

4.
Below is a PBEsol-optimized structure of Ba2LiHg, with properties calculated at the SCAN level.

Cell lengths 4.0391, 4.0391, 9.0275 Å; angles 90.00, 90.00, 90.00 degrees
Closest atoms and distances in Å follow each position.
Atoms (fractional coordinates):
Hg 0.0000 0.0000 0.5541  4 Li 3.08
Ba 0.0000 0.0000 0.9368  1 Hg 3.45, 4 Li 3.67
Ba 0.5000 0.5000 0.3276  1 Li 3.20, 4 Hg 3.51
Li 0.5000 0.5000 0.6815  4 Hg 3.08, 1 Ba 3.20

Results
formation enthalpy at 0 K: -0.2855 eV/atom
E: -37.700 eV/atom

***

5.
Below is a PBEsol-optimized structure of Ca2Ge2Au, with properties calculated at the SCAN level.

Cell lengths 4.5547, 6.8887, 6.8887 Å; angles 90.00, 90.00, 90.00 degrees
Closest atoms and distances in Å follow each position.
Atoms (fractional coordinates):
Au 0.0000 0.0000 0.0000  4 Ge 2.68
Au 0.0000 0.5000 0.5000  4 Ge 2.68
Ca 0.5000 0.6694 0.8306  6 Ge 2.97-3.10, 1 Ca 3.30
Ca 0.5000 0.1694 0.6694  6 Ge 2.97-3.10, 1 Ca 3.30
Ca 0.5000 0.8306 0.3306  6 Ge 2.97-3.10, 1 Ca 3.30
Ca 0.5000 0.3306 0.1694  6 Ge 2.97-3.10, 1 Ca 3.30
Ge 0.0000 0.3650 0.8650  1 Ge 2.63, 2 Au 2.68
Ge 0.0000 0.1350 0.3650  1 Ge 2.63, 2 Au 2.68
Ge 0.0000 0.8650 0.6350  1 Ge 2.63, 2 Au 2.68
Ge 0.0000 0.6350 0.1350  1 Ge 2.63, 2 Au 2.68

Results
formation enthalpy at 0 K: -0.6983 eV/atom
E: -26.030 eV/atom

***

6.
Below is a PBEsol-optimized structure of KGaP2O7, with properties calculated at the SCAN level.

Cell lengths 7.3331, 8.2009, 9.8790 Å; angles 90.00, 90.00, 106.96 degrees
Closest atoms and distances in Å follow each position.
Atoms (fractional coordinates):
O 0.3573 0.2644 0.0784  1 P 1.53
O 0.9204 0.7482 0.2627  1 P 1.53
O 0.6608 0.6840 0.4429  2 P 1.62
O 0.0059 0.7798 0.5062  1 P 1.53
O 0.3573 0.7644 0.4216  1 P 1.53
O 0.0059 0.2798 0.9938  1 P 1.53
O 0.4542 0.2445 0.7858  1 P 1.54
O 0.0796 0.2518 0.7373  1 P 1.53
O 0.6427 0.2356 0.5784  1 P 1.53
O 0.1409 0.5164 0.5925  1 P 1.50
O 0.9941 0.7202 0.0062  1 P 1.53
O 0.8591 0.9836 0.0925  1 P 1.50
O 0.9204 0.2482 0.2373  1 P 1.53
O 0.8591 0.4836 0.4075  1 P 1.50
O 0.0796 0.7518 0.7627  1 P 1.53
O 0.1409 0.0164 0.9075  1 P 1.50
O 0.4542 0.7445 0.7142  1 P 1.54
O 0.6608 0.1840 0.0571  2 P 1.62
O 0.3182 0.5123 0.8953  1 P 1.52
O 0.5458 0.7555 0.2142  1 P 1.54
O 0.3182 0.0123 0.6047  1 P 1.52
O 0.9941 0.2202 0.4938  1 P 1.53
O 0.3392 0.3160 0.5571  2 P 1.62
O 0.5458 0.2555 0.2858  1 P 1.54
O 0.3392 0.8160 0.9429  2 P 1.62
O 0.6818 0.4877 0.1047  1 P 1.52
O 0.6427 0.7356 0.9216  1 P 1.53
O 0.6818 0.9877 0.3953  1 P 1.52
K 0.1741 0.0554 0.3224  7 O 2.72-3.04
K 0.1741 0.5554 0.1776  7 O 2.72-3.04
K 0.8259 0.9446 0.6776  7 O 2.72-3.04
K 0.8259 0.4446 0.8224  7 O 2.72-3.04
P 0.4408 0.1919 0.6360  4 O 1.52-1.62
P 0.1306 0.3314 0.5968  4 O 1.50-1.62
P 0.8694 0.1686 0.0968  4 O 1.50-1.62
P 0.5592 0.3081 0.1360  4 O 1.52-1.62
P 0.1306 0.8314 0.9032  4 O 1.50-1.62
P 0.5592 0.8081 0.3640  4 O 1.52-1.62
P 0.4408 0.6919 0.8640  4 O 1.52-1.62
P 0.8694 0.6686 0.4032  4 O 1.50-1.62
Ga 0.7625 0.2391 0.4000  6 O 1.92-1.99
Ga 0.2375 0.7609 0.6000  6 O 1.92-1.99
Ga 0.7625 0.7391 0.1000  6 O 1.92-1.99
Ga 0.2375 0.2609 0.9000  6 O 1.92-1.99

Results
ΔE_f (raw): -2.46 eV per atom
E: -10.559 eV/atom

***

7.
Below is a PBEsol-optimized structure of BeFeSCl2, with properties calculated at the SCAN level.

Cell lengths 4.6242, 4.4695, 4.4695 Å; angles 90.00, 90.00, 90.00 degrees
Closest atoms and distances in Å follow each position.
Atoms (fractional coordinates):
Cl 0.0000 0.0000 0.5000  2 Fe 2.23
Cl 0.0000 0.5000 0.0000  2 Fe 2.23
Be 0.5000 0.5000 0.5000  4 S 3.16, 8 Cl 3.22
Fe 0.0000 0.0000 0.0000  4 Cl 2.23, 2 S 2.31
S 0.5000 0.0000 0.0000  2 Fe 2.31

Results
ΔE_f (raw): 0.20 eV per atom
E: -9.414 eV/atom

***

8.
Below is a PBEsol-optimized structure of SrBeW2, with properties calculated at the SCAN level.

Cell lengths 3.1950, 3.1950, 7.1525 Å; angles 90.00, 90.00, 90.00 degrees
Closest atoms and distances in Å follow each position.
Atoms (fractional coordinates):
Be 0.5000 0.5000 0.0000  8 W 2.53
W 0.0000 0.0000 0.8409  1 W 2.28, 4 Be 2.53
W 0.0000 0.0000 0.1591  1 W 2.28, 4 Be 2.53
Sr 0.5000 0.5000 0.5000  4 Sr 3.20, 8 W 3.32, 2 Be 3.58

Results
formation enthalpy at 0 K: 0.8766 eV/atom
E: -40.625 eV/atom

***

9.
Below is a PBEsol-optimized structure of Pt2PbBr, with properties calculated at the SCAN level.

Cell lengths 4.4622, 4.9462, 4.4622 Å; angles 63.19, 90.00, 116.81 degrees
Closest atoms and distances in Å follow each position.
Atoms (fractional coordinates):
Br 0.5000 0.0000 0.5000  8 Pt 2.93, 4 Pb 3.16
Pt 0.2500 0.5000 0.2500  4 Pb 2.93, 4 Br 2.93, 4 Pt 3.16
Pt 0.7500 0.5000 0.7500  4 Br 2.93, 4 Pb 2.93, 4 Pt 3.16
Pb 0.0000 0.0000 0.0000  8 Pt 2.93, 4 Br 3.16

Results
ΔE_f (raw): 0.49 eV per atom
E: -58.421 eV/atom
energy relative to the lowest polymorph listed for this composition: 0.2242 eV per atom

***

10.
Below is a PBEsol-optimized structure of ErSi, with properties calculated at the SCAN level.

Cell lengths 3.7654, 5.5802, 7.7240 Å; angles 90.00, 90.00, 90.00 degrees
Closest atoms and distances in Å follow each position.
Atoms (fractional coordinates):
Er 0.2500 0.1152 0.1790  7 Si 2.88-3.10
Er 0.2500 0.3848 0.6790  7 Si 2.88-3.10
Er 0.7500 0.8848 0.8210  7 Si 2.88-3.10
Er 0.7500 0.6152 0.3210  7 Si 2.88-3.10
Si 0.7500 0.3690 0.9615  2 Si 2.46
Si 0.7500 0.1310 0.4615  2 Si 2.46
Si 0.2500 0.8690 0.5385  2 Si 2.46
Si 0.2500 0.6310 0.0385  2 Si 2.46

Results
ΔE_f (raw): -0.86 eV per atom
E: -31.037 eV/atom

***

11.
Below is a PBEsol-optimized structure of CoMo3Pt, with properties calculated at the SCAN level.

Cell lengths 4.6725, 4.6725, 4.6725 Å; angles 90.00, 90.00, 90.00 degrees
Closest atoms and distances in Å follow each position.
Atoms (fractional coordinates):
Pt 0.0000 0.0000 0.0000  6 Mo 2.34
Mo 0.0000 0.5000 0.0000  2 Pt 2.34
Mo 0.5000 0.0000 0.0000  2 Pt 2.34
Mo 0.0000 0.0000 0.5000  2 Pt 2.34
Co 0.5000 0.5000 0.5000  12 Mo 3.30

Results
formation enthalpy at 0 K: 1.9768 eV/atom
E: -36.454 eV/atom

***

12.
Below is a PBEsol-optimized structure of IrRuAu, with properties calculated at the SCAN level.

Cell lengths 4.1934, 4.1934, 4.1934 Å; angles 60.00, 60.00, 60.00 degrees
Closest atoms and distances in Å follow each position.
Atoms (fractional coordinates):
Au 0.0000 0.0000 0.0000  4 Ru 2.57
Ir 0.5000 0.5000 0.5000  4 Ru 2.57
Ru 0.2500 0.2500 0.2500  4 Ir 2.57, 4 Au 2.57

Results
formation enthalpy at 0 K: 0.7733 eV/atom
E: -57.587 eV/atom
energy relative to the lowest polymorph listed for this composition: 0.1644 eV per atom

***

13.
Below is a PBEsol-optimized structure of LiBe3Nb, with properties calculated at the SCAN level.

Cell lengths 3.7374, 3.7374, 3.7374 Å; angles 90.00, 90.00, 90.00 degrees
Closest atoms and distances in Å follow each position.
Atoms (fractional coordinates):
Be 0.0000 0.0000 0.5000  2 Li 1.87
Be 0.5000 0.0000 0.0000  2 Li 1.87
Be 0.0000 0.5000 0.0000  2 Li 1.87
Li 0.0000 0.0000 0.0000  6 Be 1.87
Nb 0.5000 0.5000 0.5000  12 Be 2.64

Results
formation enthalpy at 0 K: 0.4252 eV/atom
E: -9.291 eV/atom

***

no.,volume (Å³/f.u.)
1,110
2,35
3,50
4,147
5,108
6,142
7,92
8,73
9,76
10,41
11,102
12,52
13,52